P.
KRuW2: optimized geometry, PBE.

Cell lengths 2.7996, 2.7996, 10.2316 Å; angles 90.00, 90.00, 110.81 degrees
With the nearest neighbours (Å) after each atom.
Fractional positions:
K 0.0000 0.0000 0.5133  4 K 2.80
Ru 0.5000 0.5000 0.7911  2 W 2.60, 4 Ru 2.80
W 0.5000 0.5000 0.2037  6 W 2.69-2.80
W 0.0000 0.0000 0.9920  2 Ru 2.60, 6 W 2.69-2.80

Summary:
DOS at the Fermi energy, states/eV/atom: 1.23
Total moment, μB per formula unit: 0.0



Q.
KRuW2: optimized geometry, PBE.

Cell lengths 6.2712, 6.2712, 5.2514 Å; angles 65.37, 65.37, 24.52 degrees
With the nearest neighbours (Å) after each atom.
Fractional positions:
W 0.5423 0.5423 0.4574  2 Ru 2.66, 2 W 2.66
Ru 0.2500 0.2500 0.2500  4 W 2.66, 2 Ru 2.66, 4 K 2.94
W 0.9577 0.9577 0.0426  2 Ru 2.66, 2 W 2.66
K 0.7500 0.7500 0.7500  2 K 2.66, 4 Ru 2.94

Summary:
DOS at the Fermi energy, states/eV/atom: 0.96
Total moment, μB per formula unit: 0.0



R.
KRuW2: optimized geometry, PBE.

Cell lengths 4.9144, 4.9144, 2.8472 Å; angles 90.00, 90.00, 90.00 degrees
With the nearest neighbours (Å) after each atom.
Fractional positions:
W 0.0000 0.0000 0.0000  4 K 2.84, 4 Ru 2.84, 2 W 2.85
Ru 0.0000 0.5000 0.5000  8 W 2.84, 2 Ru 2.85
K 0.5000 0.0000 0.5000  8 W 2.84, 2 K 2.85
W 0.5000 0.5000 0.0000  4 K 2.84, 4 Ru 2.84, 2 W 2.85

Summary:
DOS at the Fermi energy, states/eV/atom: 0.99
Total moment, μB per formula unit: 0.0



Short version: R is the least stable of them.



P.
KRuW2: optimized geometry, PBE.

Cell lengths 3.1355, 3.1355, 8.7910 Å; angles 90.00, 90.00, 90.00 degrees
With the nearest neighbours (Å) after each atom.
Fractional positions:
W 0.0000 0.0000 0.9870  4 Ru 2.60, 4 W 2.70
Ru 0.5000 0.5000 0.8323  5 W 2.60-2.90
K 0.0000 0.0000 0.5189  4 K 3.14
W 0.5000 0.5000 0.1618  4 W 2.70, 1 Ru 2.90

Summary:
DOS at the Fermi energy, states/eV/atom: 0.95
Total moment, μB per formula unit: 0.0



Q.
KRuW2: optimized geometry, PBE.

Cell lengths 3.9123, 2.7707, 8.4932 Å; angles 77.77, 90.00, 90.00 degrees
With the nearest neighbours (Å) after each atom.
Fractional positions:
W 0.0000 0.1575 0.8997  3 W 2.48-2.77, 4 Ru 2.69-2.71
K 0.5000 0.2500 0.2500  2 K 2.77
W 0.0000 0.3425 0.6003  3 W 2.48-2.77, 4 Ru 2.69-2.71
Ru 0.5000 0.7500 0.7500  8 W 2.69-2.71, 2 Ru 2.77

Summary:
DOS at the Fermi energy, states/eV/atom: 0.66
Total moment, μB per formula unit: 0.0



R.
KRuW2: optimized geometry, PBE.

Cell lengths 4.9057, 3.8477, 3.8477 Å; angles 90.00, 90.00, 90.00 degrees
With the nearest neighbours (Å) after each atom.
Fractional positions:
Ru 0.5000 0.0000 0.5000  4 K 2.72
W 0.0000 0.0000 0.0000  4 W 2.72
K 0.5000 0.5000 0.0000  4 Ru 2.72
W 0.0000 0.5000 0.5000  4 W 2.72

Summary:
DOS at the Fermi energy, states/eV/atom: 1.12
Total moment, μB per formula unit: 0.5



Short version: R is the least stable of them.



P.
KRuW2: optimized geometry, PBE.

Cell lengths 10.7978, 10.7978, 10.7978 Å; angles 15.04, 15.04, 15.04 degrees
With the nearest neighbours (Å) after each atom.
Fractional positions:
W 0.0049 0.0049 0.0049  3 Ru 2.66, 9 W 2.83-2.94
K 0.4961 0.4961 0.4961  6 K 2.83
W 0.2618 0.2618 0.2618  9 W 2.83-2.94
Ru 0.7372 0.7372 0.7372  3 W 2.66, 6 Ru 2.83

Summary:
DOS at the Fermi energy, states/eV/atom: 0.43
Total moment, μB per formula unit: 0.0



Q.
KRuW2: optimized geometry, PBE.

Cell lengths 2.7744, 3.9079, 8.3008 Å; angles 90.00, 90.00, 90.00 degrees
With the nearest neighbours (Å) after each atom.
Fractional positions:
W 0.0000 0.0000 0.6002  3 W 2.49-2.77, 4 Ru 2.70
K 0.5000 0.5000 0.2500  2 K 2.77
Ru 0.5000 0.5000 0.7500  8 W 2.70, 2 Ru 2.77
W 0.0000 0.0000 0.8998  3 W 2.49-2.77, 4 Ru 2.70

Summary:
DOS at the Fermi energy, states/eV/atom: 0.64
Total moment, μB per formula unit: 0.0



Short version: Q is the least stable of them.



P.
KRuW2: optimized geometry, PBE.

Cell lengths 2.9770, 4.7212, 5.0082 Å; angles 90.00, 90.00, 90.00 degrees
With the nearest neighbours (Å) after each atom.
Fractional positions:
K 0.5000 0.0000 0.5000  4 Ru 2.79, 4 W 2.91, 2 K 2.98
Ru 0.0000 0.5000 0.5000  4 K 2.79, 4 W 2.91, 2 Ru 2.98
W 0.5000 0.5000 0.0000  6 W 2.79-2.98, 4 Ru 2.91
W 0.0000 0.0000 0.0000  6 W 2.79-2.98, 4 K 2.91

Summary:
DOS at the Fermi energy, states/eV/atom: 1.20
Total moment, μB per formula unit: 0.3



Q.
KRuW2: optimized geometry, PBE.

Cell lengths 2.7555, 2.7555, 10.7315 Å; angles 90.00, 90.00, 114.11 degrees
With the nearest neighbours (Å) after each atom.
Fractional positions:
K 0.5000 0.5000 0.2500  6 K 2.76-3.00
W 0.0000 0.0000 0.9563  2 Ru 2.67, 4 W 2.76
Ru 0.5000 0.5000 0.7500  4 W 2.67, 4 Ru 2.76
W 0.0000 0.0000 0.5437  2 Ru 2.67, 4 W 2.76

Summary:
DOS at the Fermi energy, states/eV/atom: 1.33
Total moment, μB per formula unit: 0.0



R.
KRuW2: optimized geometry, PBE.

Cell lengths 5.8232, 5.8232, 5.8232 Å; angles 151.12, 125.07, 63.25 degrees
With the nearest neighbours (Å) after each atom.
Fractional positions:
W 0.0056 0.0056 0.0000  2 Ru 2.52, 2 W 2.61
W 0.7868 0.2868 0.5000  4 W 2.61-2.90
Ru 0.2137 0.7137 0.5000  2 W 2.52
K 0.4939 0.4939 0.0000  2 K 2.90, 6 W 3.06-3.25, 2 Ru 3.13

Summary:
DOS at the Fermi energy, states/eV/atom: 1.06
Total moment, μB per formula unit: 0.0



Short version: P is the least stable of them.



P.
KRuW2: optimized geometry, PBE.

Cell lengths 5.5579, 5.5579, 5.5579 Å; angles 139.51, 139.51, 58.60 degrees
With the nearest neighbours (Å) after each atom.
Fractional positions:
W 0.0000 0.0000 0.0000  4 W 2.72
Ru 0.7500 0.2500 0.5000  4 K 2.72
W 0.5000 0.5000 0.0000  4 W 2.72
K 0.2500 0.7500 0.5000  4 Ru 2.72

Summary:
DOS at the Fermi energy, states/eV/atom: 1.17
Total moment, μB per formula unit: 0.0



Q.
KRuW2: optimized geometry, PBE.

Cell lengths 10.9137, 10.9137, 10.9137 Å; angles 14.86, 14.86, 14.86 degrees
With the nearest neighbours (Å) after each atom.
Fractional positions:
Ru 0.7500 0.7500 0.7500  6 W 2.75, 6 Ru 2.82
K 0.2500 0.2500 0.2500  6 K 2.82
W 0.4850 0.4850 0.4850  3 Ru 2.75, 6 W 2.82
W 0.0150 0.0150 0.0150  3 Ru 2.75, 6 W 2.82

Summary:
DOS at the Fermi energy, states/eV/atom: 1.15
Total moment, μB per formula unit: 0.2



R.
KRuW2: optimized geometry, PBE.

Cell lengths 4.6202, 4.6202, 4.6202 Å; angles 60.00, 60.00, 60.00 degrees
With the nearest neighbours (Å) after each atom.
Fractional positions:
K 0.5000 0.5000 0.5000  4 W 2.83, 4 Ru 2.83
W 0.2500 0.2500 0.2500  4 K 2.83, 4 W 2.83
Ru 0.7500 0.7500 0.7500  4 W 2.83, 4 K 2.83
W 0.0000 0.0000 0.0000  4 W 2.83, 4 Ru 2.83

Summary:
DOS at the Fermi energy, states/eV/atom: 1.17
Total moment, μB per formula unit: 0.0



Short version: P is the least stable of them.



P.
K2RuW: optimized geometry, PBE.

Cell lengths 10.6625, 10.6625, 3.8379 Å; angles 79.80, 79.80, 17.52 degrees
With the nearest neighbours (Å) after each atom.
Fractional positions:
K 0.3972 0.3972 0.6060  2 K 3.25, 2 Ru 3.46, 2 W 3.60-3.61
W 0.2500 0.2500 0.2500  4 Ru 2.51
Ru 0.7500 0.7500 0.7500  4 W 2.51
K 0.1028 0.1028 0.8940  2 K 3.25, 2 Ru 3.46, 2 W 3.60-3.61

Summary:
DOS at the Fermi energy, states/eV/atom: 0.97
Total moment, μB per formula unit: 0.4



Q.
K2RuW: optimized geometry, PBE.

Cell lengths 2.7166, 2.7166, 11.8152 Å; angles 90.00, 90.00, 90.00 degrees
With the nearest neighbours (Å) after each atom.
Fractional positions:
Ru 0.5000 0.5000 0.2500  4 Ru 2.72
K 0.0000 0.0000 0.4863  4 K 2.72
W 0.5000 0.5000 0.7500  4 W 2.72
K 0.0000 0.0000 0.0137  4 K 2.72

Summary:
DOS at the Fermi energy, states/eV/atom: 1.23
Total moment, μB per formula unit: 1.1



R.
K2RuW: optimized geometry, PBE.

Cell lengths 2.7659, 2.7659, 11.9962 Å; angles 90.00, 90.00, 113.12 degrees
With the nearest neighbours (Å) after each atom.
Fractional positions:
Ru 0.5000 0.5000 0.2500  6 Ru 2.77-3.05
K 0.0000 0.0000 0.4858  6 K 2.77-3.05
K 0.0000 0.0000 0.0142  6 K 2.77-3.05
W 0.5000 0.5000 0.7500  6 W 2.77-3.05

Summary:
DOS at the Fermi energy, states/eV/atom: 1.05
Total moment, μB per formula unit: 0.4



Short version: Q is the least stable of them.



P.
K2RuW: optimized geometry, PBE.

Cell lengths 5.3643, 5.3643, 5.3643 Å; angles 60.00, 60.00, 60.00 degrees
With the nearest neighbours (Å) after each atom.
Fractional positions:
K 0.7500 0.7500 0.7500  4 W 3.28, 4 Ru 3.28
W 0.5000 0.5000 0.5000  8 K 3.28
K 0.2500 0.2500 0.2500  4 W 3.28, 4 Ru 3.28
Ru 0.0000 0.0000 0.0000  8 K 3.28

Summary:
DOS at the Fermi energy, states/eV/atom: 5.68
Total moment, μB per formula unit: 4.5



Q.
K2RuW: optimized geometry, PBE.

Cell lengths 3.9653, 3.9653, 11.0481 Å; angles 87.50, 87.50, 47.13 degrees
With the nearest neighbours (Å) after each atom.
Fractional positions:
Ru 0.5128 0.5128 0.4324  3 W 2.36-2.47
K 0.7611 0.7611 0.6719  2 K 3.17, 3 Ru 3.27-3.52
W 0.2326 0.2326 0.3331  3 Ru 2.36-2.47
K 0.9934 0.9934 0.0626  2 K 3.17, 1 W 3.53

Summary:
DOS at the Fermi energy, states/eV/atom: 0.67
Total moment, μB per formula unit: 0.0



R.
K2RuW: optimized geometry, PBE.

Cell lengths 12.4988, 12.4988, 9.1394 Å; angles 46.86, 46.86, 90.00 degrees
With the nearest neighbours (Å) after each atom.
Fractional positions:
W 0.0000 0.0000 0.0000  2 Ru 2.33
K 0.2962 0.6250 0.2500  2 Ru 3.33, 2 W 3.71
W 0.7500 0.2500 0.5000  2 Ru 2.33
Ru 0.5000 0.5000 0.0000  2 W 2.33
Ru 0.2500 0.7500 0.5000  2 W 2.33
K 0.4538 0.1250 0.2500  2 Ru 3.33, 2 W 3.71
K 0.3750 0.5462 0.7500  2 Ru 3.33, 2 W 3.71
K 0.8750 0.7038 0.7500  2 Ru 3.33, 2 W 3.71

Summary:
DOS at the Fermi energy, states/eV/atom: 1.74
Total moment, μB per formula unit: 2.0



Short version: P is the least stable of them.



P.
K2RuW: optimized geometry, PBE.

Cell lengths 6.4953, 6.4953, 6.4953 Å; angles 146.11, 146.11, 48.68 degrees
With the nearest neighbours (Å) after each atom.
Fractional positions:
K 0.0000 0.0000 0.0000  4 K 2.68
W 0.7500 0.2500 0.5000  4 Ru 2.68
Ru 0.2500 0.7500 0.5000  4 W 2.68
K 0.5000 0.5000 0.0000  4 K 2.68

Summary:
DOS at the Fermi energy, states/eV/atom: 0.97
Total moment, μB per formula unit: 0.0



Q.
K2RuW: optimized geometry, PBE.

Cell lengths 6.7179, 6.7179, 6.7179 Å; angles 149.00, 125.57, 63.96 degrees
With the nearest neighbours (Å) after each atom.
Fractional positions:
K 0.0147 0.0147 0.0000  6 K 3.59-3.89, 4 Ru 3.65, 4 W 3.81-3.89
W 0.3175 0.8175 0.5000  2 Ru 2.30
Ru 0.4436 0.4436 0.0000  2 W 2.30
K 0.7243 0.2243 0.5000  6 K 3.59-3.89, 4 Ru 3.67-3.96, 4 W 3.71

Summary:
DOS at the Fermi energy, states/eV/atom: 0.53
Total moment, μB per formula unit: 0.0



R.
K2RuW: optimized geometry, PBE.

Cell lengths 12.1381, 12.1381, 12.1381 Å; angles 13.43, 13.43, 13.43 degrees
With the nearest neighbours (Å) after each atom.
Fractional positions:
Ru 0.2500 0.2500 0.2500  6 Ru 2.84
K 0.5050 0.5050 0.5050  6 K 2.84
K 0.9950 0.9950 0.9950  6 K 2.84
W 0.7500 0.7500 0.7500  6 W 2.84

Summary:
DOS at the Fermi energy, states/eV/atom: 0.79
Total moment, μB per formula unit: 0.1



Short version: R is the least stable of them.